Entry 1:
# PBE Y12ErTm7, optimized geometry
# - magnetization (μB per cell) = 0.0
# - ΔE_f (eV per atom) = 0.335
# - crystal system = trigonal
# - offset from the most stable computed form (eV/atom) = 0.043
# - ρ (g cm⁻³) = 6.063
data_Y12ErTm7
_chemical_formula_sum 'Y36 Er3 Tm21'
_symmetry_space_group_name_H-M 'R -3'
_symmetry_Int_Tables_number 148
_symmetry_space_group_name_Hall '-R 3'
_cell_length_a 18.5715
_cell_length_b 18.5715
_cell_length_c 6.6481
_cell_angle_alpha 90.00
_cell_angle_beta 90.00
_cell_angle_gamma 120.00
loop_
_atom_site_label
_atom_site_type_symbol
_atom_site_fract_x
_atom_site_fract_y
_atom_site_fract_z
Y1 Y 0.0005 0.7920 0.2945
Y2 Y 0.0077 0.4694 0.7377
Er1 Er 0.0000 0.0000 0.0000
Tm1 Tm 0.0000 0.0000 0.5000
Tm2 Tm 0.0107 0.8552 0.7920

Entry 2:
# PBE TaTlPb2, optimized geometry
# - magnetization (μB per cell) = 0.0
# - ΔE_f (eV per atom) = 0.426
# - crystal system = orthorhombic
# - offset from the most stable computed form (eV/atom) = 0.101
# - ρ (g cm⁻³) = 11.627
data_TaTlPb2
_chemical_formula_sum 'Ta2 Tl2 Pb4'
_symmetry_space_group_name_H-M 'I m m 2'
_symmetry_Int_Tables_number 44
_symmetry_space_group_name_Hall 'I 2 -2'
_cell_length_a 3.129
_cell_length_b 4.991
_cell_length_c 14.627
_cell_angle_alpha 90.00
_cell_angle_beta 90.00
_cell_angle_gamma 90.00
loop_
_atom_site_label
_atom_site_type_symbol
_atom_site_fract_x
_atom_site_fract_y
_atom_site_fract_z
Ta1 Ta 0.000 0.000 0.000
Tl1 Tl 0.000 0.500 0.689
Pb1 Pb 0.000 0.000 0.508
Pb2 Pb 0.000 0.500 0.319

Entry 3:
# PBE TbPr5Au6, optimized geometry
# - magnetization (μB per cell) = 0.0
# - ΔE_f (eV per atom) = -0.761
# - crystal system = monoclinic
# - ρ (g cm⁻³) = 10.972
data_TbPr5Au6
_chemical_formula_sum 'Tb2 Pr10 Au12'
_symmetry_space_group_name_H-M 'C 1 2/m 1'
_symmetry_Int_Tables_number 12
_symmetry_space_group_name_Hall '-C 2y'
_cell_length_a 16.663
_cell_length_b 7.413
_cell_length_c 5.278
_cell_angle_alpha 90.00
_cell_angle_beta 108.27
_cell_angle_gamma 90.00
loop_
_atom_site_label
_atom_site_type_symbol
_atom_site_fract_x
_atom_site_fract_y
_atom_site_fract_z
Tb1 Tb 0.000 0.000 0.000
Pr1 Pr 0.000 0.500 0.000
Pr2 Pr 0.164 0.500 0.665
Pr3 Pr 0.170 0.000 0.669
Au1 Au 0.000 0.230 0.500
Au2 Au 0.161 0.240 0.161

Entry 4:
# PBE Ac4Zn2Cu, optimized geometry
# - magnetization (μB per cell) = 0.0
# - ΔE_f (eV per atom) = -0.089
# - crystal system = tetragonal
# - ρ (g cm⁻³) = 7.978
data_Ac4Zn2Cu
_chemical_formula_sum 'Ac8 Zn4 Cu2'
_symmetry_space_group_name_H-M 'I 4/m m m'
_symmetry_Int_Tables_number 139
_symmetry_space_group_name_Hall '-I 4 2'
_cell_length_a 7.710
_cell_length_b 7.710
_cell_length_c 7.719
_cell_angle_alpha 90.00
_cell_angle_beta 90.00
_cell_angle_gamma 90.00
loop_
_atom_site_label
_atom_site_type_symbol
_atom_site_fract_x
_atom_site_fract_y
_atom_site_fract_z
Ac1 Ac 0.250 0.250 0.250
Zn1 Zn 0.000 0.500 0.000
Cu1 Cu 0.000 0.000 0.000